(1)
The following is a PBE calculation of an optimized crystal structure of CeTlHg2, from the Alexandria database.

The structure in CIF format:
```
data_CeTlHg2
_cell_length_a 3.890
_cell_length_b 3.890
_cell_length_c 7.281
_cell_angle_alpha 90.00
_cell_angle_beta 90.00
_cell_angle_gamma 90.00
_space_group_name_H-M_alt 'P 4/m m m'
_space_group_IT_number 123
_space_group_name_Hall '-P 4 2'
loop_
_atom_site_label
_atom_site_type_symbol
_atom_site_fract_x
_atom_site_fract_y
_atom_site_fract_z
Ce1 Ce 0.000 0.000 0.000
Tl1 Tl 0.000 0.000 0.500
Hg1 Hg 0.500 0.500 0.248
```


(2)
The following is a PBE calculation of an optimized crystal structure of Ce6TlHg2, from the Alexandria database.

The structure in CIF format:
```
data_Ce6TlHg2
_cell_length_a 16.131
_cell_length_b 9.450
_cell_length_c 3.128
_cell_angle_alpha 90.00
_cell_angle_beta 100.96
_cell_angle_gamma 90.00
_space_group_name_H-M_alt 'C 1 2/m 1'
_space_group_IT_number 12
loop_
_space_group_symop_operation_xyz
'x,y,z'
'-x,-y,-z'
'-x,y,-z'
'x,-y,z'
'x+1/2,y+1/2,z'
'-x+1/2,-y+1/2,-z'
'-x+1/2,y+1/2,-z'
'x+1/2,-y+1/2,z'
loop_
_atom_site_label
_atom_site_type_symbol
_atom_site_fract_x
_atom_site_fract_y
_atom_site_fract_z
Ce1 Ce 0.000 0.176 0.000
Ce2 Ce 0.158 0.313 0.157
Tl1 Tl 0.000 0.500 0.500
Hg1 Hg 0.161 0.000 0.657
```

## Properties
**Relative energy among the computed polymorphs**: 57 meV per atom


(3)
The following is a PBE calculation of an optimized crystal structure of Ce4Tl2Hg3, from the Alexandria database.

The structure in CIF format:
```
data_Ce4Tl2Hg3
_cell_length_a 7.014
_cell_length_b 16.589
_cell_length_c 9.354
_cell_angle_alpha 90.00
_cell_angle_beta 90.00
_cell_angle_gamma 90.00
_space_group_name_H-M_alt 'C m c e'
_space_group_IT_number 64
_space_group_name_Hall '-C 2ac 2'
loop_
_atom_site_label
_atom_site_type_symbol
_atom_site_fract_x
_atom_site_fract_y
_atom_site_fract_z
Ce1 Ce 0.000 0.185 0.057
Ce2 Ce 0.250 0.022 0.750
Tl1 Tl 0.000 0.119 0.441
Hg1 Hg 0.000 0.000 0.000
Hg2 Hg 0.250 0.209 0.750
```

## Properties
**Relative energy among the computed polymorphs**: 129 meV per atom


(4)
The following is a PBE calculation of an optimized crystal structure of CeTlHg2, from the Alexandria database.

The structure in CIF format:
```
data_CeTlHg2
_cell_length_a 4.761
_cell_length_b 4.761
_cell_length_c 4.737
_cell_angle_alpha 90.00
_cell_angle_beta 90.00
_cell_angle_gamma 90.00
_space_group_name_H-M_alt 'P 4/m m m'
_space_group_IT_number 123
_space_group_name_Hall '-P 4 2'
loop_
_atom_site_label
_atom_site_type_symbol
_atom_site_fract_x
_atom_site_fract_y
_atom_site_fract_z
Ce1 Ce 0.000 0.000 0.000
Tl1 Tl 0.500 0.500 0.000
Hg1 Hg 0.000 0.500 0.500
```


(5)
The following is a PBE calculation of an optimized crystal structure of Ce2TlHg2, from the Alexandria database.

The structure in CIF format:
```
data_Ce2TlHg2
_cell_length_a 8.567
_cell_length_b 8.567
_cell_length_c 3.892
_cell_angle_alpha 90.00
_cell_angle_beta 90.00
_cell_angle_gamma 90.00
_space_group_name_H-M_alt 'P 4/m b m'
_space_group_IT_number 127
_space_group_name_Hall '-P 4 2ab'
loop_
_atom_site_label
_atom_site_type_symbol
_atom_site_fract_x
_atom_site_fract_y
_atom_site_fract_z
Ce1 Ce 0.174 0.326 0.000
Tl1 Tl 0.000 0.000 0.500
Hg1 Hg 0.124 0.624 0.500
```

## Properties
**Relative energy among the computed polymorphs**: 11 meV per atom


(6)
The following is a PBE calculation of an optimized crystal structure of Ce3TlHg, from the Alexandria database.

The structure in CIF format:
```
data_Ce3TlHg
_cell_length_a 7.507
_cell_length_b 4.187
_cell_length_c 8.381
_cell_angle_alpha 90.00
_cell_angle_beta 90.45
_cell_angle_gamma 90.00
_space_group_name_H-M_alt 'P 1 21/m 1'
_space_group_IT_number 11
loop_
_space_group_symop_operation_xyz
'x,y,z'
'-x,-y,-z'
'-x,y+1/2,-z'
'x,-y+1/2,z'
loop_
_atom_site_label
_atom_site_type_symbol
_atom_site_fract_x
_atom_site_fract_y
_atom_site_fract_z
Ce1 Ce 0.100 0.250 0.365
Ce2 Ce 0.117 0.750 0.033
Ce3 Ce 0.323 0.750 0.441
Tl1 Tl 0.468 0.250 0.151
Hg1 Hg 0.234 0.250 0.737
```

## Properties
**Relative energy among the computed polymorphs**: 0 meV per atom


no.,ΔE_f (eV per formula unit),calculated volume (Å³ per cell)
1,-0.77,110
2,-0.62,468
3,-1.04,1088
4,-0.93,107
5,-1.24,286
6,-0.73,263